Entry 1:
Computed, not measured: an optimized crystal structure of Cs3TmS3 at the PBE-GGA level of DFT.

space-group type: C2/m, No. 12

a b c (Å): 8.6839 8.6839 8.5195
angles (deg): 96.54 96.54 114.10
Fractional positions:
Tm: 0.1715 0.1715 0.6428
Tm: 0.8285 0.8285 0.3572
Cs: 0.7447 0.2553 0.5000
Cs: 0.8153 0.1847 0.0000
Cs: 0.2553 0.7447 0.5000
Cs: 0.6230 0.6230 0.8594
Cs: 0.3770 0.3770 0.1406
Cs: 0.1847 0.8153 0.0000
S: 0.5577 0.8404 0.2292
S: 0.1596 0.4423 0.7708
S: 0.9031 0.9031 0.6710
S: 0.8404 0.5577 0.2292
S: 0.4423 0.1596 0.7708
S: 0.0969 0.0969 0.3290


Entry 2:
Computed, not measured: an optimized crystal structure of Cs2YTmS4 at the PBE-GGA level of DFT.

space-group type: P-3m1, No. 164

a b c (Å): 4.0718 4.0718 16.0412
angles (deg): 90.00 90.00 120.00
Fractional positions:
S: 0.3333 0.6667 0.5921
S: 0.6667 0.3333 0.0896
S: 0.3333 0.6667 0.9104
S: 0.6667 0.3333 0.4079
Tm: 0.0000 0.0000 0.0000
Cs: 0.3333 0.6667 0.2498
Cs: 0.6667 0.3333 0.7502
Y: 0.0000 0.0000 0.5000


Entry 3:
Computed, not measured: an optimized crystal structure of CsTmZnS3 at the PBE-GGA level of DFT.

space-group type: P2_1/m, No. 11

a b c (Å): 9.2840 3.9896 9.9207
angles (deg): 90.00 112.25 90.00
Fractional positions:
S: 0.9747 0.7500 0.6485
S: 0.3093 0.2500 0.9533
S: 0.6907 0.7500 0.0467
S: 0.3705 0.7500 0.6462
S: 0.0253 0.2500 0.3515
S: 0.6295 0.2500 0.3538
Tm: 0.8338 0.7500 0.3611
Tm: 0.1662 0.2500 0.6389
Zn: 0.5848 0.2500 0.1098
Zn: 0.4152 0.7500 0.8902
Cs: 0.2827 0.7500 0.2588
Cs: 0.7173 0.2500 0.7412


Entry 4:
Computed, not measured: an optimized crystal structure of Cs2U3S8 at the PBE-GGA level of DFT.

space-group type: C2/m, No. 12

a b c (Å): 9.2549 9.2549 6.9331
angles (deg): 105.67 105.67 52.00
Fractional positions:
S: 0.4043 0.4043 0.5378
S: 0.9131 0.9131 0.6028
S: 0.6892 0.1360 0.1188
S: 0.3108 0.8640 0.8812
S: 0.0869 0.0869 0.3972
S: 0.1360 0.6892 0.1188
S: 0.8640 0.3108 0.8812
S: 0.5957 0.5957 0.4622
U: 0.2559 0.7441 0.5000
U: 0.0000 0.0000 0.0000
U: 0.7441 0.2559 0.5000
Cs: 0.2689 0.2689 0.8294
Cs: 0.7311 0.7311 0.1706


Entry 5:
Computed, not measured: an optimized crystal structure of CsW3S5 at the PBE-GGA level of DFT.

space-group type: P6/mmm, No. 191

a b c (Å): 5.6577 5.6577 7.5102
angles (deg): 90.00 90.00 120.00
Fractional positions:
S: 0.3333 0.6667 0.2565
S: 0.6667 0.3333 0.2565
S: 0.0000 0.0000 0.5000
S: 0.6667 0.3333 0.7435
S: 0.3333 0.6667 0.7435
Cs: 0.0000 0.0000 0.0000
W: 0.5000 0.5000 0.5000
W: 0.5000 0.0000 0.5000
W: 0.0000 0.5000 0.5000


Entry 6:
Computed, not measured: an optimized crystal structure of CsZr3S5 at the PBE-GGA level of DFT.

space-group type: P6/mmm, No. 191

a b c (Å): 6.1058 6.1058 7.4889
angles (deg): 90.00 90.00 120.00
Fractional positions:
Zr: 0.5000 0.5000 0.5000
Zr: 0.0000 0.5000 0.5000
Zr: 0.5000 0.0000 0.5000
S: 0.3333 0.6667 0.2508
S: 0.0000 0.0000 0.5000
S: 0.3333 0.6667 0.7492
S: 0.6667 0.3333 0.2508
S: 0.6667 0.3333 0.7492
Cs: 0.0000 0.0000 0.0000


| no. | energy (eV/atom) |
| --- | --- |
| 1 | -4.255 |
| 2 | -5.477 |
| 3 | -4.662 |
| 4 | -6.645 |
| 5 | -7.039 |
| 6 | -6.577 |